SrLiTb2Te4 | PBE | optimized geometry

Values from the calculation:
- calculated density (kg/m3) = 6112
- N(E_F) (states/eV per cell) = 5.4
- total moment (μB per formula unit) = 0.00
- calculated total energy (Ry per atom) = -0.3354
- crystal system = orthorhombic

```
SrLiTb2Te4
1.0
2.217 -7.329 0.000
2.217 7.329 0.000
0.000 0.000 15.429
Sr Li Tb Te
2 2 4 8
direct
0.123 0.877 0.750
0.877 0.123 0.250
0.150 0.850 0.250
0.850 0.150 0.750
0.372 0.628 0.560
0.372 0.628 0.940
0.628 0.372 0.060
0.628 0.372 0.440
0.000 0.000 0.000
0.000 0.000 0.500
0.272 0.728 0.117
0.272 0.728 0.383
0.453 0.547 0.750
0.547 0.453 0.250
0.728 0.272 0.617
0.728 0.272 0.883
```